A | LiSb3Pd5: relaxed, PBE.

Structure (POSCAR):
```
LiSb3Pd5
1.0
-0.9990 6.4704 -1.5686
0.0611 -1.5772 -6.5447
-7.0452 -3.5588 4.2545
Sb Pd Li
6 10 2
Direct
0.8557 0.6443 0.0000 Sb
0.7500 0.7500 0.5000 Sb
0.6443 0.1443 0.0000 Sb
0.2500 0.2500 0.5000 Sb
0.1443 0.3557 0.0000 Sb
0.3557 0.8557 0.0000 Sb
0.5000 0.5000 0.0000 Pd
0.9044 0.9113 0.3158 Pd
0.0887 0.5887 0.6842 Pd
0.5956 0.0956 0.6842 Pd
0.0000 0.0000 0.0000 Pd
0.9113 0.4113 0.3158 Pd
0.4113 0.4044 0.3158 Pd
0.5887 0.5956 0.6842 Pd
0.4044 0.9044 0.3158 Pd
0.0956 0.0887 0.6842 Pd
0.7500 0.2500 0.5000 Li
0.2500 0.7500 0.5000 Li
```


B | LiSb3Pd5: relaxed, PBE.

Structure (POSCAR):
```
LiSb3Pd5
1.0
-4.3593 3.7613 -0.8814
-4.7206 -4.3664 4.7144
4.4251 5.8586 3.1145
Pd Sb Li
10 6 2
Direct
0.0000 0.3333 0.6667 Pd
0.0000 0.6667 0.3333 Pd
0.7500 0.3337 0.0000 Pd
0.5000 0.6667 0.3333 Pd
0.2500 0.6663 0.0000 Pd
0.7500 0.6660 0.6662 Pd
0.5000 0.3333 0.6667 Pd
0.2500 0.0001 0.6662 Pd
0.7500 0.9999 0.3338 Pd
0.2500 0.3340 0.3338 Pd
0.7500 0.9999 0.6651 Sb
0.7500 0.6650 0.0000 Sb
0.2500 0.6651 0.6651 Sb
0.2500 0.3350 0.0000 Sb
0.7500 0.3349 0.3349 Sb
0.2500 0.0001 0.3349 Sb
0.5000 0.0000 0.0000 Li
0.0000 0.0000 0.0000 Li
```


The energetic minimum among the shown structures is B; the next structure lies 93 meV per atom above.